PBE Sr2ZnOs, relaxed; energy of formation = 471 meV per atom; energy = -3.496 eV per atom
1.0
3.5920 0.0000 0.0000
0.0000 3.6768 0.0000
0.0000 0.0000 7.9544
Sr Zn Os
2 1 1
direct
0.0000 0.0000 0.2224 Sr
0.0000 0.0000 0.7776 Sr
0.5000 0.5000 0.5000 Zn
0.5000 0.5000 0.0000 Os



PBE SrZn2Os, relaxed; energy of formation = 388 meV per atom; energy = -3.477 eV per atom
1.0
0.0000 3.3588 3.3588
3.3588 0.0000 3.3588
3.3588 3.3588 0.0000
Sr Zn Os
1 2 1
direct
0.0000 0.0000 0.0000 Sr
0.2500 0.2500 0.2500 Zn
0.7500 0.7500 0.7500 Zn
0.5000 0.5000 0.5000 Os



PBE Sr2ZnOs, relaxed; energy of formation = 673 meV per atom; energy = -3.294 eV per atom
1.0
4.3104 -1.5790 0.0000
4.3104 1.5790 0.0000
-0.9418 0.0000 8.1788
Sr Zn Os
2 1 1
direct
0.2443 0.2443 0.2185 Sr
0.7557 0.7557 0.7815 Sr
0.0000 0.0000 0.5000 Zn
0.5000 0.5000 0.0000 Os



PBE SrZn3Os, relaxed; energy of formation = 2025 meV per atom; energy = -1.321 eV per atom; excess energy over the best structure of this formula in the dataset = 2019 meV/atom
1.0
5.6279 0.0000 0.0000
0.0000 5.6279 0.0000
0.0000 0.0000 5.6279
Sr Zn Os
1 3 1
direct
0.0000 0.0000 0.0000 Sr
0.0000 0.0000 0.5000 Zn
0.0000 0.5000 0.0000 Zn
0.5000 0.0000 0.0000 Zn
0.5000 0.5000 0.5000 Os